Entry 1:
A relaxed structure of CrBr2, computed with PBEsol.

Cell and atoms, written as CIF:
```
data_CrBr2
_chemical_formula_sum 'Cr2 Br4'
_symmetry_space_group_name_H-M 'C 1 2/m 1'
_symmetry_Int_Tables_number 12
_symmetry_space_group_name_Hall '-C 2y'
_cell_length_a 7.078
_cell_length_b 3.598
_cell_length_c 6.380
_cell_angle_alpha 90.00
_cell_angle_beta 95.34
_cell_angle_gamma 90.00
loop_
_atom_site_label
_atom_site_type_symbol
_atom_site_fract_x
_atom_site_fract_y
_atom_site_fract_z
Cr1 Cr 0.000 0.000 0.000
Br1 Br 0.150 0.500 0.233
```

The value obtained for the total energy is -5.18 eV per atom. Its crystal system is monoclinic. Its uncorrected formation energy is -523 meV per atom.

Entry 2:
A relaxed structure of Cs3Cr2Br9, computed with PBEsol.

Cell and atoms, written as CIF:
```
data_Cs3Cr2Br9
_chemical_formula_sum 'Cs6 Cr4 Br18'
_symmetry_space_group_name_H-M 'P 63/m m c'
_symmetry_Int_Tables_number 194
_symmetry_space_group_name_Hall '-P 6c 2c'
_cell_length_a 7.4656
_cell_length_b 7.4656
_cell_length_c 18.7242
_cell_angle_alpha 90.00
_cell_angle_beta 90.00
_cell_angle_gamma 120.00
loop_
_atom_site_label
_atom_site_type_symbol
_atom_site_fract_x
_atom_site_fract_y
_atom_site_fract_z
Cs1 Cs 0.0000 0.0000 0.2500
Cs2 Cs 0.3333 0.6667 0.0718
Cr1 Cr 0.3333 0.6667 0.6623
Br1 Br 0.0298 0.5149 0.7500
Br2 Br 0.1754 0.3509 0.5919
```

The value obtained for the total energy is -4.11 eV per atom. Its crystal system is hexagonal. Its uncorrected formation energy is -1241 meV per atom.

Entry 3:
A relaxed structure of CsCrBr3, computed with PBEsol.

Cell and atoms, written as CIF:
```
data_CsCrBr3
_chemical_formula_sum 'Cs2 Cr2 Br6'
_symmetry_space_group_name_H-M 'P 63 m c'
_symmetry_Int_Tables_number 186
_symmetry_space_group_name_Hall 'P 6c -2c'
_cell_length_a 7.4526
_cell_length_b 7.4526
_cell_length_c 6.3001
_cell_angle_alpha 90.00
_cell_angle_beta 90.00
_cell_angle_gamma 120.00
loop_
_atom_site_label
_atom_site_type_symbol
_atom_site_fract_x
_atom_site_fract_y
_atom_site_fract_z
Cs1 Cs 0.3333 0.6667 0.0000
Cr1 Cr 0.0000 0.0000 0.2508
Br1 Br 0.1619 0.3237 0.5006
```

The value obtained for the total energy is -4.44 eV per atom. Its crystal system is hexagonal. Its uncorrected formation energy is -1079 meV per atom.

Entry 4:
A relaxed structure of CsCrBr3, computed with PBEsol.

Cell and atoms, written as CIF:
```
data_CsCrBr3
_chemical_formula_sum 'Cs1 Cr1 Br3'
_symmetry_space_group_name_H-M 'P m -3 m'
_symmetry_Int_Tables_number 221
_symmetry_space_group_name_Hall '-P 4 2 3'
_cell_length_a 5.235
_cell_length_b 5.235
_cell_length_c 5.235
_cell_angle_alpha 90.00
_cell_angle_beta 90.00
_cell_angle_gamma 90.00
loop_
_atom_site_label
_atom_site_type_symbol
_atom_site_fract_x
_atom_site_fract_y
_atom_site_fract_z
Cs1 Cs 0.000 0.000 0.000
Cr1 Cr 0.500 0.500 0.500
Br1 Br 0.000 0.500 0.500
```

The value obtained for the total energy is -4.45 eV per atom. Its crystal system is cubic. Its uncorrected formation energy is -1089 meV per atom.

In μB/cell, the total magnetic moment values for the records above are, in order, 8.0 12.0 8.0 4.0.
In A^3/atom, the V values for the records above are, in order, 26.959 32.278 30.303 28.686.